# 1
NdZnAs2 | PBE | optimized geometry

Values from the calculation:
- Calculated volume: 21.394 Å³ per atom
- Distance to the lowest polymorph of the same formula: 0.000 eV per formula unit
- ΔH_f (0 K): -0.73 eV/atom
- M_tot: 0.00 μB per cell

abc: 4.0533 4.0533 10.4175
angles: 90.00 90.00 90.00
Last column: nearest neighbours and their distance in Å.
Fractional coordinates of all 8 atoms:
Nd: 0.2500 0.2500 0.2203  8 As 3.06-3.11
Nd: 0.7500 0.7500 0.7797  8 As 3.06-3.11
Zn: 0.2500 0.7500 0.5000  4 As 2.65, 4 Zn 2.87
Zn: 0.7500 0.2500 0.5000  4 As 2.65, 4 Zn 2.87
As: 0.2500 0.2500 0.6639  4 Zn 2.65
As: 0.2500 0.7500 0.0000  4 As 2.87, 4 Nd 3.06
As: 0.7500 0.2500 0.0000  4 As 2.87, 4 Nd 3.06
As: 0.7500 0.7500 0.3361  4 Zn 2.65

# 2
Ac6Sn3Ir | PBE | optimized geometry

Values from the calculation:
- Calculated volume: 40.847 Å³ per atom
- ΔH_f (0 K): -0.50 eV/atom
- M_tot: 0.00 μB per cell

abc: 9.4864 9.4864 9.4864
angles: 99.17 99.17 99.17
Last column: nearest neighbours and their distance in Å.
Fractional coordinates of all 20 atoms:
Ac: 0.0225 0.6870 0.9396  1 Ir 2.98
Ac: 0.0604 0.9775 0.3130  1 Ir 2.98
Ac: 0.1973 0.4295 0.5594  1 Ir 3.01
Ac: 0.3130 0.0604 0.9775  1 Ir 2.98
Ac: 0.4295 0.5594 0.1973  1 Ir 3.01
Ac: 0.4406 0.8027 0.5705  1 Ir 3.01
Ac: 0.5594 0.1973 0.4295  1 Ir 3.01
Ac: 0.5705 0.4406 0.8027  1 Ir 3.01
Ac: 0.6870 0.9396 0.0225  1 Ir 2.98
Ac: 0.8027 0.5705 0.4406  1 Ir 3.01
Ac: 0.9396 0.0225 0.6870  1 Ir 2.98
Ac: 0.9775 0.3130 0.0604  1 Ir 2.98
Sn: 0.1171 0.6370 0.3003  7 Ac 3.34-3.62
Sn: 0.3003 0.1171 0.6370  7 Ac 3.34-3.62
Sn: 0.3630 0.6997 0.8829  7 Ac 3.34-3.62
Sn: 0.6370 0.3003 0.1171  7 Ac 3.34-3.62
Sn: 0.6997 0.8829 0.3630  7 Ac 3.34-3.62
Sn: 0.8829 0.3630 0.6997  7 Ac 3.34-3.62
Ir: 0.0000 0.0000 0.0000  6 Ac 2.98
Ir: 0.5000 0.5000 0.5000  6 Ac 3.01

# 3
RbB12 | PBE | optimized geometry

Values from the calculation:
- Calculated volume: 8.761 Å³ per atom
- Distance to the lowest polymorph of the same formula: 0.000 eV per formula unit
- ΔH_f (0 K): 0.34 eV/atom
- M_tot: 0.00 μB per cell

abc: 5.4408 5.4408 5.4408
angles: 60.00 60.00 60.00
Last column: nearest neighbours and their distance in Å.
Fractional coordinates of all 13 atoms:
Rb: 0.0000 0.0000 0.0000  24 B 2.87
B: 0.1672 0.5000 0.5000  5 B 1.81-1.82
B: 0.1672 0.5000 0.8328  5 B 1.81-1.82
B: 0.1672 0.8328 0.5000  5 B 1.81-1.82
B: 0.5000 0.1672 0.5000  5 B 1.81-1.82
B: 0.5000 0.1672 0.8328  5 B 1.81-1.82
B: 0.5000 0.5000 0.1672  5 B 1.81-1.82
B: 0.5000 0.5000 0.8328  5 B 1.81-1.82
B: 0.5000 0.8328 0.1672  5 B 1.81-1.82
B: 0.5000 0.8328 0.5000  5 B 1.81-1.82
B: 0.8328 0.1672 0.5000  5 B 1.81-1.82
B: 0.8328 0.5000 0.1672  5 B 1.81-1.82
B: 0.8328 0.5000 0.5000  5 B 1.81-1.82

# 4
InGaPS2 | PBE | optimized geometry

Values from the calculation:
- Calculated volume: 22.721 Å³ per atom
- Distance to the lowest polymorph of the same formula: 0.000 eV per formula unit
- M_tot: 0.81 μB per cell
- Formation energy without anion corrections: 0.349 eV per atom

abc: 4.8112 4.8112 4.9078
angles: 90.00 90.00 90.00
Last column: nearest neighbours and their distance in Å.
Fractional coordinates of all 5 atoms:
In: 0.0000 0.0000 0.0000  4 P 3.40, 8 S 3.44
Ga: 0.5000 0.5000 0.5000  4 S 2.41, 2 P 2.45
P: 0.5000 0.5000 0.0000  2 Ga 2.45
S: 0.0000 0.5000 0.5000  2 Ga 2.41
S: 0.5000 0.0000 0.5000  2 Ga 2.41